1.
# Dy2AlCo2Ni5 | Alexandria via LeMat-Bulk | PBE | relaxed
# total DFT energy (no corrections) = -5.857 eV/atom
# total magnetization = 4.497 μB/cell
data_Dy2AlCo2Ni5
_chemical_formula_sum 'Dy4 Al2 Co4 Ni10'
_space_group_name_H-M_alt 'P 4/m b m'
_space_group_IT_number 127
_space_group_name_Hall '-P 4 2ab'
_cell_length_a 8.7646
_cell_length_b 8.7646
_cell_length_c 3.7197
_cell_angle_alpha 90.00
_cell_angle_beta 90.00
_cell_angle_gamma 90.00
loop_
_atom_site_label
_atom_site_type_symbol
_atom_site_fract_x
_atom_site_fract_y
_atom_site_fract_z
_atom_site_occupancy
Dy1 Dy 0.1748 0.3252 0.0000 1
Al1 Al 0.0000 0.0000 0.0000 1
Co1 Co 0.1244 0.6244 0.0000 1
Ni1 Ni 0.0000 0.5000 0.5000 1
Ni2 Ni 0.0629 0.7958 0.5000 1



2.
# AcCdSO6 | Alexandria via LeMat-Bulk | PBE | relaxed
# total DFT energy (no corrections) = -5.805 eV/atom
# total magnetization = 1.075 μB/cell
data_AcCdSO6
_chemical_formula_sum 'Ac1 Cd1 S1 O6'
_space_group_name_H-M_alt 'P 3 1 2'
_space_group_IT_number 149
_space_group_name_Hall 'P 3 2'
_cell_length_a 5.3517
_cell_length_b 5.3517
_cell_length_c 5.0239
_cell_angle_alpha 90.00
_cell_angle_beta 90.00
_cell_angle_gamma 120.00
loop_
_atom_site_label
_atom_site_type_symbol
_atom_site_fract_x
_atom_site_fract_y
_atom_site_fract_z
_atom_site_occupancy
Ac1 Ac 0.0000 0.0000 0.0000 1
Cd1 Cd 0.3333 0.6667 0.5000 1
S1 S 0.6667 0.3333 0.5000 1
O1 O 0.4123 0.0786 0.6971 1



3.
# Tb4PmCo4 | Alexandria via LeMat-Bulk | PBE | relaxed
# total DFT energy (no corrections) = -5.780 eV/atom
# total magnetization = 0.001 μB/cell
data_Tb4PmCo4
_chemical_formula_sum 'Tb8 Pm2 Co8'
_space_group_name_H-M_alt 'P 42/n'
_space_group_IT_number 86
_cell_length_a 8.4798
_cell_length_b 8.4798
_cell_length_c 5.5972
_cell_angle_alpha 90.00
_cell_angle_beta 90.00
_cell_angle_gamma 90.00
loop_
_space_group_symop_operation_xyz
'x,y,z'
'-x,-y,-z'
'-y,x+1/2,z+1/2'
'y,-x+1/2,-z+1/2'
'-x+1/2,-y+1/2,z'
'x+1/2,y+1/2,-z'
'y+1/2,-x,z+1/2'
'-y+1/2,x,-z+1/2'
loop_
_atom_site_label
_atom_site_type_symbol
_atom_site_fract_x
_atom_site_fract_y
_atom_site_fract_z
_atom_site_occupancy
Tb1 Tb 0.0628 0.6735 0.1336 1
Pm1 Pm 0.2500 0.2500 0.2500 1
Co1 Co 0.0158 0.6104 0.6156 1



4.
# NdPuPdPb | Alexandria via LeMat-Bulk | PBE | relaxed
# total DFT energy (no corrections) = -7.331 eV/atom
# total magnetization = 21.988 μB/cell
data_NdPuPdPb
_chemical_formula_sum 'Nd4 Pu4 Pd4 Pb4'
_space_group_name_H-M_alt 'F -4 3 m'
_space_group_IT_number 216
_space_group_name_Hall 'F -4 2 3'
_cell_length_a 7.5327
_cell_length_b 7.5327
_cell_length_c 7.5327
_cell_angle_alpha 90.00
_cell_angle_beta 90.00
_cell_angle_gamma 90.00
loop_
_atom_site_label
_atom_site_type_symbol
_atom_site_fract_x
_atom_site_fract_y
_atom_site_fract_z
_atom_site_occupancy
Nd1 Nd 0.0000 0.0000 0.0000 1
Pu1 Pu 0.0000 0.0000 0.5000 1
Pd1 Pd 0.2500 0.2500 0.2500 1
Pb1 Pb 0.2500 0.2500 0.7500 1



5.
# CaTiAg2Ir | Alexandria via LeMat-Bulk | PBE | relaxed
# total DFT energy (no corrections) = -4.546 eV/atom
# total magnetization = 0.000 μB/cell
data_CaTiAg2Ir
_chemical_formula_sum 'Ca1 Ti1 Ag2 Ir1'
_space_group_name_H-M_alt 'P 4/m m m'
_space_group_IT_number 123
_space_group_name_Hall '-P 4 2'
_cell_length_a 5.0782
_cell_length_b 5.0782
_cell_length_c 4.5816
_cell_angle_alpha 90.00
_cell_angle_beta 90.00
_cell_angle_gamma 90.00
loop_
_atom_site_label
_atom_site_type_symbol
_atom_site_fract_x
_atom_site_fract_y
_atom_site_fract_z
_atom_site_occupancy
Ca1 Ca 0.0000 0.0000 0.0000 1
Ti1 Ti 0.5000 0.5000 0.5000 1
Ag1 Ag 0.0000 0.5000 0.5000 1
Ir1 Ir 0.5000 0.5000 0.0000 1



6.
# YTeRh2 | Alexandria via LeMat-Bulk | PBE | relaxed
# total DFT energy (no corrections) = -6.450 eV/atom
# total magnetization = 0.000 μB/cell
# ΔE to the lowest computed polymorph = 0.242 eV/atom
data_YTeRh2
_chemical_formula_sum 'Y4 Te4 Rh8'
_space_group_name_H-M_alt 'I -4 2 d'
_space_group_IT_number 122
_space_group_name_Hall 'I -4 2bw'
_cell_length_a 4.4397
_cell_length_b 4.4397
_cell_length_c 17.6231
_cell_angle_alpha 90.00
_cell_angle_beta 90.00
_cell_angle_gamma 90.00
loop_
_atom_site_label
_atom_site_type_symbol
_atom_site_fract_x
_atom_site_fract_y
_atom_site_fract_z
_atom_site_occupancy
Y1 Y 0.0000 0.0000 0.0000 1
Te1 Te 0.0000 0.0000 0.5000 1
Rh1 Rh 0.2076 0.2500 0.6250 1